Record 1
Crystalline InWCl at its relaxed geometry, computed with GGA-PBE.

Unit cell a=8.9606 b=8.6590 c=3.0873 alpha=85.48 beta=74.44 gamma=20.09
Last column: nearest neighbours and their distance in Å.
Element x y z (fractional)
In 0.0000 0.0000 0.0000  6 In 2.90-3.09, 2 W 2.97
W 0.3483 0.3483 0.6517  2 Cl 2.43
Cl 0.7343 0.7343 0.2657  2 W 2.43

Calculated values
symmetry = No. 42
energy relative to the elements, uncorrected = 0.40 eV per atom
E above lowest polymorph = 130 meV/atom
E = -0.2000 Ha/atom
size of the total moment = 0.40 μB/f.u.

=====

Record 2
Crystalline InW2Cl at its relaxed geometry, computed with GGA-PBE.

Unit cell a=5.5877 b=5.5877 c=5.5877 alpha=138.97 beta=138.97 gamma=59.43
Last column: nearest neighbours and their distance in Å.
Element x y z (fractional)
In 0.0000 0.0000 0.0000  4 Cl 2.77
W 0.2500 0.7500 0.5000  4 W 2.77
W 0.7500 0.2500 0.5000  4 W 2.77
Cl 0.5000 0.5000 0.0000  4 In 2.77

Calculated values
symmetry = No. 139
energy relative to the elements, uncorrected = 1.33 eV per atom
E above lowest polymorph = 1161 meV/atom
E = -0.2313 Ha/atom
size of the total moment = 0.00 μB/f.u.

=====

Record 3
Crystalline InW3Cl at its relaxed geometry, computed with GGA-PBE.

Unit cell a=4.4583 b=4.4583 c=4.4583 alpha=90.00 beta=90.00 gamma=90.00
Last column: nearest neighbours and their distance in Å.
Element x y z (fractional)
In 0.0000 0.0000 0.0000  12 W 3.15
W 0.0000 0.5000 0.5000  2 Cl 2.23
W 0.5000 0.0000 0.5000  2 Cl 2.23
W 0.5000 0.5000 0.0000  2 Cl 2.23
Cl 0.5000 0.5000 0.5000  6 W 2.23

Calculated values
symmetry = No. 221
energy relative to the elements, uncorrected = 1.48 eV per atom
E above lowest polymorph = 0 meV/atom
E = -0.2649 Ha/atom
size of the total moment = 0.00 μB/f.u.

=====

Record 4
Crystalline InW2Cl at its relaxed geometry, computed with GGA-PBE.

Unit cell a=4.8679 b=4.8679 c=4.8679 alpha=126.78 beta=126.78 gamma=78.61
Last column: nearest neighbours and their distance in Å.
Element x y z (fractional)
In 0.0000 0.0000 0.0000  4 Cl 2.88, 8 W 2.88-3.08
W 0.2500 0.7500 0.5000  4 In 2.88, 4 W 2.88, 4 Cl 3.08
W 0.5000 0.5000 0.0000  4 W 2.88, 4 Cl 2.88, 4 In 3.08
Cl 0.7500 0.2500 0.5000  4 In 2.88, 8 W 2.88-3.08

Calculated values
symmetry = No. 119
energy relative to the elements, uncorrected = 1.03 eV per atom
E above lowest polymorph = 861 meV/atom
E = -0.2423 Ha/atom
size of the total moment = 0.00 μB/f.u.

=====

Record 5
Crystalline InWCl2 at its relaxed geometry, computed with GGA-PBE.

Unit cell a=3.0225 b=4.6440 c=5.6251 alpha=90.00 beta=90.00 gamma=90.00
Last column: nearest neighbours and their distance in Å.
Element x y z (fractional)
In 0.0000 0.0000 0.0000  4 Cl 2.77, 2 In 3.02
W 0.5000 0.0000 0.5000  4 Cl 2.77, 2 W 3.02
Cl 0.0000 0.5000 0.5000  4 W 2.77, 2 Cl 3.02
Cl 0.5000 0.5000 0.0000  4 In 2.77, 2 Cl 3.02

Calculated values
symmetry = No. 47
energy relative to the elements, uncorrected = 0.50 eV per atom
E above lowest polymorph = 550 meV/atom
E = -0.1596 Ha/atom
size of the total moment = 1.69 μB/f.u.

=====

Record 6
Crystalline In4WCl at its relaxed geometry, computed with GGA-PBE.

Unit cell a=5.8813 b=5.8813 c=5.8813 alpha=60.00 beta=60.00 gamma=60.00
Last column: nearest neighbours and their distance in Å.
Element x y z (fractional)
In 0.1249 0.1249 0.1249  6 In 2.94
In 0.1249 0.1249 0.6254  6 In 2.94
In 0.1249 0.6254 0.1249  6 In 2.94
In 0.6254 0.1249 0.1249  6 In 2.94
W 0.7500 0.7500 0.7500  12 In 3.45, 4 Cl 3.60
Cl 0.5000 0.5000 0.5000  12 In 3.45, 4 W 3.60

Calculated values
symmetry = No. 216
energy relative to the elements, uncorrected = 0.77 eV per atom
E = -0.1293 Ha/atom
size of the total moment = 2.55 μB/f.u.

=====

Record 7
Crystalline InW2Cl at its relaxed geometry, computed with GGA-PBE.

Unit cell a=3.3396 b=5.0573 c=5.0427 alpha=90.00 beta=96.08 gamma=90.00
Last column: nearest neighbours and their distance in Å.
Element x y z (fractional)
In 0.0000 0.0000 0.0000  4 W 2.83, 2 Cl 2.87
W 0.2951 0.5000 0.1793  2 W 2.38-2.53
W 0.7049 0.5000 0.8207  2 W 2.38-2.53
Cl 0.5000 0.0000 0.5000  4 In 2.87-3.17, 4 W 3.04

Calculated values
symmetry = No. 10
energy relative to the elements, uncorrected = 0.83 eV per atom
E above lowest polymorph = 663 meV/atom
E = -0.2496 Ha/atom
size of the total moment = 0.00 μB/f.u.

=====

Record 8
Crystalline InWCl2 at its relaxed geometry, computed with GGA-PBE.

Unit cell a=5.3327 b=5.3327 c=5.3327 alpha=131.74 beta=131.74 gamma=70.63
Last column: nearest neighbours and their distance in Å.
Element x y z (fractional)
In 0.0000 0.0000 0.0000  8 Cl 3.08, 4 W 3.08
W 0.5000 0.5000 0.0000  8 Cl 3.08, 4 In 3.08
Cl 0.2500 0.7500 0.5000  4 W 3.08, 4 In 3.08, 4 Cl 3.08
Cl 0.7500 0.2500 0.5000  4 W 3.08, 4 In 3.08, 4 Cl 3.08

Calculated values
symmetry = No. 139
energy relative to the elements, uncorrected = 0.93 eV per atom
E above lowest polymorph = 975 meV/atom
E = -0.1440 Ha/atom
size of the total moment = 2.39 μB/f.u.

=====

Record 9
Crystalline In2WCl at its relaxed geometry, computed with GGA-PBE.

Unit cell a=2.9907 b=2.9907 c=10.0976 alpha=90.00 beta=90.00 gamma=90.00
Last column: nearest neighbours and their distance in Å.
Element x y z (fractional)
In 0.0000 0.0000 0.0000  4 In 2.99
In 0.5000 0.5000 0.2841  4 In 2.99, 4 W 3.01
W 0.0000 0.0000 0.4968  4 Cl 2.64
Cl 0.5000 0.5000 0.6533  4 W 2.64

Calculated values
symmetry = No. 99
energy relative to the elements, uncorrected = 0.40 eV per atom
E above lowest polymorph = 198 meV/atom
E = -0.1716 Ha/atom
size of the total moment = 0.00 μB/f.u.

=====

Record 10
Crystalline InWCl2 at its relaxed geometry, computed with GGA-PBE.

Unit cell a=8.1972 b=8.1972 c=8.1972 alpha=159.25 beta=148.07 gamma=38.38
Last column: nearest neighbours and their distance in Å.
Element x y z (fractional)
In 0.0000 0.0000 0.0000  2 In 2.95, 2 W 2.96, 2 Cl 3.20
W 0.1659 0.6659 0.5000  6 Cl 2.42-2.71
Cl 0.2901 0.2901 0.0000  2 W 2.42
Cl 0.6466 0.1466 0.5000  4 W 2.71, 2 Cl 2.95

Calculated values
symmetry = No. 44
energy relative to the elements, uncorrected = 0.32 eV per atom
E above lowest polymorph = 369 meV/atom
E = -0.1662 Ha/atom
size of the total moment = 0.00 μB/f.u.

=====

Record 11
Crystalline In2WCl at its relaxed geometry, computed with GGA-PBE.

Unit cell a=5.4198 b=5.4198 c=5.4198 alpha=133.39 beta=133.39 gamma=68.05
Last column: nearest neighbours and their distance in Å.
Element x y z (fractional)
In 0.2500 0.7500 0.5000  4 In 3.03, 4 Cl 3.11, 4 W 3.11
In 0.7500 0.2500 0.5000  4 In 3.03, 4 Cl 3.11, 4 W 3.11
W 0.0000 0.0000 0.0000  4 Cl 3.03, 8 In 3.11
Cl 0.5000 0.5000 0.0000  4 W 3.03, 8 In 3.11

Calculated values
symmetry = No. 139
energy relative to the elements, uncorrected = 0.84 eV per atom
E above lowest polymorph = 634 meV/atom
E = -0.1556 Ha/atom
size of the total moment = 1.53 μB/f.u.

=====

Record 12
Crystalline In2WCl at its relaxed geometry, computed with GGA-PBE.

Unit cell a=9.3681 b=9.3681 c=9.3681 alpha=19.62 beta=19.62 gamma=19.62
Last column: nearest neighbours and their distance in Å.
Element x y z (fractional)
In 0.2479 0.2479 0.2479  3 W 2.90, 3 Cl 2.99, 6 In 3.19
In 0.7521 0.7521 0.7521  3 W 2.90, 3 Cl 2.99, 6 In 3.19
W 0.5000 0.5000 0.5000  6 In 2.90, 6 W 3.19
Cl 0.0000 0.0000 0.0000  6 In 2.99, 6 Cl 3.19

Calculated values
symmetry = No. 166
energy relative to the elements, uncorrected = 0.34 eV per atom
E above lowest polymorph = 136 meV/atom
E = -0.1739 Ha/atom
size of the total moment = 0.00 μB/f.u.

=====

Record 13
Crystalline In2WCl at its relaxed geometry, computed with GGA-PBE.

Unit cell a=10.5773 b=10.5773 c=10.5773 alpha=17.09 beta=17.09 gamma=17.09
Last column: nearest neighbours and their distance in Å.
Element x y z (fractional)
In 0.0000 0.0000 0.0000  3 W 2.97, 9 In 3.14-3.25
In 0.2471 0.2471 0.2471  9 In 3.14-3.25
W 0.7417 0.7417 0.7417  3 Cl 2.47
Cl 0.4621 0.4621 0.4621  3 W 2.47

Calculated values
symmetry = No. 160
energy relative to the elements, uncorrected = 0.20 eV per atom
E above lowest polymorph = 0 meV/atom
E = -0.1789 Ha/atom
size of the total moment = 0.00 μB/f.u.

=====

Record 14
Crystalline InWCl at its relaxed geometry, computed with GGA-PBE.

Unit cell a=5.6264 b=5.6264 c=5.6264 alpha=150.52 beta=139.11 gamma=51.21
Last column: nearest neighbours and their distance in Å.
Element x y z (fractional)
In 0.0000 0.0000 0.0000  2 In 2.86, 1 Cl 2.94, 5 W 3.05-3.17
W 0.6999 0.6999 0.0000  4 Cl 2.60, 2 W 2.86
Cl 0.2895 0.2895 0.0000  4 W 2.60, 2 Cl 2.86

Calculated values
symmetry = No. 44
energy relative to the elements, uncorrected = 0.73 eV per atom
E above lowest polymorph = 457 meV/atom
E = -0.1880 Ha/atom
size of the total moment = 0.00 μB/f.u.

=====

Record 15
Crystalline InW2Cl at its relaxed geometry, computed with GGA-PBE.

Unit cell a=2.8343 b=4.9772 c=5.1432 alpha=90.00 beta=90.00 gamma=90.00
Last column: nearest neighbours and their distance in Å.
Element x y z (fractional)
In 0.0000 0.0000 0.0000  2 In 2.83, 4 W 2.86, 4 Cl 2.94
W 0.0000 0.5000 0.5000  6 W 2.83-2.94, 4 Cl 2.86
W 0.5000 0.5000 0.0000  6 W 2.83-2.94, 4 In 2.86
Cl 0.5000 0.0000 0.5000  2 Cl 2.83, 4 W 2.86, 4 In 2.94

Calculated values
symmetry = No. 47
energy relative to the elements, uncorrected = 0.86 eV per atom
E above lowest polymorph = 695 meV/atom
E = -0.2484 Ha/atom
size of the total moment = 0.00 μB/f.u.

=====

Record 16
Crystalline InWCl2 at its relaxed geometry, computed with GGA-PBE.

Unit cell a=4.4308 b=4.4308 c=4.3486 alpha=90.00 beta=90.00 gamma=90.00
Last column: nearest neighbours and their distance in Å.
Element x y z (fractional)
In 0.0000 0.0000 0.0000  8 Cl 3.10, 4 W 3.13
W 0.5000 0.5000 0.0000  8 Cl 3.10, 4 In 3.13
Cl 0.0000 0.5000 0.5000  4 W 3.10, 4 In 3.10, 4 Cl 3.13
Cl 0.5000 0.0000 0.5000  4 W 3.10, 4 In 3.10, 4 Cl 3.13

Calculated values
symmetry = No. 123
energy relative to the elements, uncorrected = 0.89 eV per atom
E above lowest polymorph = 938 meV/atom
E = -0.1453 Ha/atom
size of the total moment = 3.33 μB/f.u.